No. 1
A relaxed structure of Tl3TcC, computed with PBE.

Calculated values
Excess energy over the best structure of this formula in the dataset in meV/atom: 0
Total energy in eV per atom: -3.68
Calculated volume in A^3/atom: 23.13
Total magnetic moment in μB per atom: 0.679

a b c (Å): 4.872 4.872 4.872
angles (deg): 90.00 90.00 90.00
Space group Pm-3m (No. 221)
Asymmetric unit:
Tl 0.000 0.000 0.500 (multiplicity 3)
Tc 0.500 0.500 0.500 (multiplicity 1)
C 0.000 0.000 0.000 (multiplicity 1)

=====

No. 2
A relaxed structure of Y2TlTcC, computed with PBE.

Calculated values
Total energy in eV per atom: -7.31
Calculated volume in A^3/atom: 20.33
Total magnetic moment in μB per atom: 0.000

a b c (Å): 5.021 5.021 4.032
angles (deg): 90.00 90.00 90.00
Space group P4/mmm (No. 123)
Asymmetric unit:
Y 0.000 0.500 0.000 (multiplicity 2)
Tl 0.000 0.000 0.500 (multiplicity 1)
Tc 0.500 0.500 0.500 (multiplicity 1)
C 0.500 0.500 0.000 (multiplicity 1)

=====

No. 3
A relaxed structure of Tm2Tc3C2, computed with PBE.

Calculated values
Total energy in eV per atom: -8.42
Calculated volume in A^3/atom: 14.26
Total magnetic moment in μB per atom: 0.000

a b c (Å): 9.633 3.141 7.398
angles (deg): 90.00 116.88 90.00
Space group C2/m (No. 12)
Asymmetric unit:
Tm 0.150 0.000 0.282 (multiplicity 4)
Tc 0.000 0.500 0.500 (multiplicity 2)
Tc 0.131 0.500 0.938 (multiplicity 4)
C 0.138 0.000 0.747 (multiplicity 4)

=====

No. 4
A relaxed structure of Tm2TcC2, computed with PBE.

Calculated values
Excess energy over the best structure of this formula in the dataset in meV/atom: 0
Total energy in eV per atom: -7.99
Calculated volume in A^3/atom: 15.90
Total magnetic moment in μB per atom: 0.000

a b c (Å): 6.502 5.016 9.748
angles (deg): 90.00 90.00 90.00
Space group Pnma (No. 62)
Asymmetric unit:
Tm 0.035 0.250 0.217 (multiplicity 4)
Tm 0.175 0.250 0.558 (multiplicity 4)
Tc 0.215 0.250 0.869 (multiplicity 4)
C 0.053 0.750 0.241 (multiplicity 4)
C 0.175 0.750 0.553 (multiplicity 4)

=====

No. 5
A relaxed structure of Tm3Tc4C4, computed with PBE.

Calculated values
Total energy in eV per atom: -8.34
Calculated volume in A^3/atom: 14.09
Total magnetic moment in μB per atom: 0.000

a b c (Å): 9.125 3.104 10.943
angles (deg): 90.00 90.00 90.00
Space group Amm2 (No. 38)
Asymmetric unit:
Tm 0.000 0.000 0.000 (multiplicity 2)
Tm 0.337 0.000 0.053 (multiplicity 4)
Tc 0.000 0.000 0.273 (multiplicity 2)
Tc 0.252 0.000 0.790 (multiplicity 4)
Tc 0.500 0.000 0.312 (multiplicity 2)
C 0.000 0.000 0.664 (multiplicity 2)
C 0.184 0.000 0.402 (multiplicity 4)
C 0.500 0.000 0.689 (multiplicity 2)

=====

No. 6
A relaxed structure of TmTc2C, computed with PBE.

Calculated values
Total energy in eV per atom: -8.61
Calculated volume in A^3/atom: 14.34
Total magnetic moment in μB per atom: 0.000

a b c (Å): 3.146 9.907 7.364
angles (deg): 90.00 90.00 90.00
Space group Cmcm (No. 63)
Asymmetric unit:
Tm 0.000 0.055 0.250 (multiplicity 4)
Tc 0.000 0.342 0.063 (multiplicity 8)
C 0.000 0.224 0.750 (multiplicity 4)

=====

No. 7
A relaxed structure of Tm3Tc2C4, computed with PBE.

Calculated values
Total energy in eV per atom: -8.00
Calculated volume in A^3/atom: 13.77
Total magnetic moment in μB per atom: 0.000

a b c (Å): 10.528 3.241 7.345
angles (deg): 90.00 98.44 90.00
Space group C2/m (No. 12)
Asymmetric unit:
Tm 0.000 0.000 0.000 (multiplicity 2)
Tm 0.117 0.500 0.402 (multiplicity 4)
Tc 0.203 0.500 0.829 (multiplicity 4)
C 0.137 0.000 0.650 (multiplicity 4)
C 0.158 0.500 0.091 (multiplicity 4)

=====

No. 8
A relaxed structure of Tm2TcC2, computed with PBE.

Calculated values
Excess energy over the best structure of this formula in the dataset in meV/atom: 62
Total energy in eV per atom: -7.93
Calculated volume in A^3/atom: 15.96
Total magnetic moment in μB per atom: 0.000

a b c (Å): 10.979 5.007 6.580
angles (deg): 90.00 118.05 90.00
Space group C2/m (No. 12)
Asymmetric unit:
Tm 0.029 0.000 0.272 (multiplicity 4)
Tm 0.178 0.500 0.120 (multiplicity 4)
Tc 0.138 0.500 0.628 (multiplicity 4)
C 0.008 0.500 0.273 (multiplicity 4)
C 0.179 0.000 0.107 (multiplicity 4)

=====

No. 9
A relaxed structure of TmUTcC3, computed with PBE.

Calculated values
Total energy in eV per atom: -8.94
Calculated volume in A^3/atom: 15.81
Total magnetic moment in μB per atom: 0.000

a b c (Å): 6.941 3.569 7.659
angles (deg): 90.00 91.36 90.00
Space group P2_1/m (No. 11)
Asymmetric unit:
Tm 0.140 0.250 0.158 (multiplicity 2)
U 0.375 0.750 0.828 (multiplicity 2)
Tc 0.107 0.250 0.589 (multiplicity 2)
C 0.139 0.250 0.849 (multiplicity 2)
C 0.179 0.750 0.506 (multiplicity 2)
C 0.407 0.750 0.121 (multiplicity 2)

=====

No. 10
A relaxed structure of Tm2ZnTcC, computed with PBE.

Calculated values
Total energy in eV per atom: -6.29
Calculated volume in A^3/atom: 18.56
Total magnetic moment in μB per atom: 0.000

a b c (Å): 4.838 4.838 3.966
angles (deg): 90.00 90.00 90.00
Space group P4/mmm (No. 123)
Asymmetric unit:
Tm 0.000 0.500 0.000 (multiplicity 2)
Zn 0.000 0.000 0.500 (multiplicity 1)
Tc 0.500 0.500 0.500 (multiplicity 1)
C 0.500 0.500 0.000 (multiplicity 1)

=====

No. 11
A relaxed structure of UTcC, computed with PBE.

Calculated values
Excess energy over the best structure of this formula in the dataset in meV/atom: 264
Total energy in eV per atom: -10.15
Calculated volume in A^3/atom: 14.52
Total magnetic moment in μB per atom: 0.180

a b c (Å): 6.599 6.599 4.000
angles (deg): 90.00 90.00 90.00
Space group P4_2/mmc (No. 131)
Asymmetric unit:
U 0.000 0.225 0.000 (multiplicity 4)
Tc 0.298 0.500 0.500 (multiplicity 4)
C 0.229 0.500 0.000 (multiplicity 4)

=====

No. 12
A relaxed structure of UTcC, computed with PBE.

Calculated values
Excess energy over the best structure of this formula in the dataset in meV/atom: 0
Total energy in eV per atom: -10.42
Calculated volume in A^3/atom: 14.71
Total magnetic moment in μB per atom: 0.000

a b c (Å): 3.103 11.946 4.762
angles (deg): 90.00 90.00 90.00
Space group Cmcm (No. 63)
Asymmetric unit:
U 0.000 0.149 0.250 (multiplicity 4)
Tc 0.000 0.415 0.250 (multiplicity 4)
C 0.000 0.198 0.750 (multiplicity 4)

=====

No. 13
A relaxed structure of UTcC2, computed with PBE.

Calculated values
Excess energy over the best structure of this formula in the dataset in meV/atom: 903
Total energy in eV per atom: -9.30
Calculated volume in A^3/atom: 16.03
Total magnetic moment in μB per atom: 0.000

a b c (Å): 3.6571 3.6571 16.6102
angles (deg): 90.00 90.00 120.00
Space group R-3m (No. 166, hexagonal axes)
Asymmetric unit:
U 0.0000 0.0000 0.0000 (multiplicity 3)
Tc 0.0000 0.0000 0.5000 (multiplicity 3)
C 0.0000 0.0000 0.3839 (multiplicity 6)

=====

No. 14
A relaxed structure of UTc4C, computed with PBE.

Calculated values
Total energy in eV per atom: -10.34
Calculated volume in A^3/atom: 14.74
Total magnetic moment in μB per atom: 0.000

a b c (Å): 4.210 14.364 5.850
angles (deg): 90.00 90.00 90.00
Space group Cmcm (No. 63)
Asymmetric unit:
U 0.000 0.096 0.250 (multiplicity 4)
Tc 0.000 0.110 0.750 (multiplicity 4)
Tc 0.000 0.299 0.521 (multiplicity 8)
Tc 0.000 0.500 0.000 (multiplicity 4)
C 0.000 0.391 0.250 (multiplicity 4)

=====

No. 15
A relaxed structure of UTcC, computed with PBE.

Calculated values
Excess energy over the best structure of this formula in the dataset in meV/atom: 412
Total energy in eV per atom: -10.01
Calculated volume in A^3/atom: 14.75
Total magnetic moment in μB per atom: 0.000

a b c (Å): 3.7069 3.7069 3.7187
angles (deg): 90.00 90.00 120.00
Space group P3m1 (No. 156)
Asymmetric unit:
U 0.0000 0.0000 0.0000 (multiplicity 1)
Tc 0.6667 0.3333 0.4772 (multiplicity 1)
C 0.3333 0.6667 0.6044 (multiplicity 1)

=====

No. 16
A relaxed structure of UTcC2, computed with PBE.

Calculated values
Excess energy over the best structure of this formula in the dataset in meV/atom: 0
Total energy in eV per atom: -10.20
Calculated volume in A^3/atom: 12.29
Total magnetic moment in μB per atom: 0.164

a b c (Å): 5.596 3.188 11.021
angles (deg): 90.00 90.00 90.00
Space group Pnma (No. 62)
Asymmetric unit:
U 0.083 0.250 0.142 (multiplicity 4)
Tc 0.082 0.750 0.398 (multiplicity 4)
C 0.159 0.250 0.756 (multiplicity 4)
C 0.243 0.250 0.493 (multiplicity 4)

=====

No. 17
A relaxed structure of U5TcC4, computed with PBE.

Calculated values
Total energy in eV per atom: -10.29
Calculated volume in A^3/atom: 15.21
Total magnetic moment in μB per atom: 0.000

a b c (Å): 6.703 7.686 5.904
angles (deg): 90.00 90.00 90.00
Space group Pmmn (No. 59, origin choice 2)
Asymmetric unit:
U 0.051 0.077 0.225 (multiplicity 8)
U 0.250 0.750 0.398 (multiplicity 2)
Tc 0.250 0.250 0.720 (multiplicity 2)
C 0.014 0.750 0.104 (multiplicity 4)
C 0.250 0.010 0.580 (multiplicity 4)

=====

No. 18
A relaxed structure of UTcC, computed with PBE.

Calculated values
Excess energy over the best structure of this formula in the dataset in meV/atom: 483
Total energy in eV per atom: -9.94
Calculated volume in A^3/atom: 13.88
Total magnetic moment in μB per atom: 0.435

a b c (Å): 2.878 2.878 10.057
angles (deg): 90.00 90.00 90.00
Space group I4mm (No. 107)
Asymmetric unit:
U 0.000 0.000 0.000 (multiplicity 2)
Tc 0.000 0.000 0.271 (multiplicity 2)
C 0.000 0.000 0.690 (multiplicity 2)

=====

No. 19
A relaxed structure of Y2UTc2C4, computed with PBE.

Calculated values
Total energy in eV per atom: -9.13
Calculated volume in A^3/atom: 14.29
Total magnetic moment in μB per atom: 0.000

a b c (Å): 12.752 3.462 6.102
angles (deg): 90.00 107.30 90.00
Space group C2/m (No. 12)
Asymmetric unit:
Y 0.136 0.000 0.040 (multiplicity 4)
U 0.000 0.000 0.500 (multiplicity 2)
Tc 0.175 0.500 0.502 (multiplicity 4)
C 0.022 0.500 0.247 (multiplicity 4)
C 0.229 0.000 0.730 (multiplicity 4)

=====

No. 20
A relaxed structure of YUTcC3, computed with PBE.

Calculated values
Total energy in eV per atom: -9.26
Calculated volume in A^3/atom: 16.32
Total magnetic moment in μB per atom: 0.000

a b c (Å): 7.041 3.596 7.746
angles (deg): 90.00 93.09 90.00
Space group P2_1/m (No. 11)
Asymmetric unit:
Y 0.145 0.250 0.162 (multiplicity 2)
U 0.370 0.750 0.832 (multiplicity 2)
Tc 0.104 0.250 0.592 (multiplicity 2)
C 0.140 0.250 0.850 (multiplicity 2)
C 0.175 0.750 0.515 (multiplicity 2)
C 0.415 0.750 0.121 (multiplicity 2)

=====

No. 21
A relaxed structure of Zr2UTcC4, computed with PBE.

Calculated values
Total energy in eV per atom: -9.70
Calculated volume in A^3/atom: 13.62
Total magnetic moment in μB per atom: 0.153

a b c (Å): 3.313 11.563 11.378
angles (deg): 90.00 90.00 90.00
Space group Cmcm (No. 63)
Asymmetric unit:
Zr 0.000 0.131 0.040 (multiplicity 8)
U 0.000 0.386 0.250 (multiplicity 4)
Tc 0.000 0.353 0.750 (multiplicity 4)
C 0.000 0.043 0.250 (multiplicity 4)
C 0.000 0.233 0.626 (multiplicity 8)
C 0.000 0.500 0.000 (multiplicity 4)

=====

No. 22
A relaxed structure of V3TcC, computed with PBE.

Calculated values
Excess energy over the best structure of this formula in the dataset in meV/atom: 2364
Total energy in eV per atom: -7.15
Calculated volume in A^3/atom: 18.03
Total magnetic moment in μB per atom: 0.000

a b c (Å): 4.484 4.484 4.484
angles (deg): 90.00 90.00 90.00
Space group Pm-3m (No. 221)
Asymmetric unit:
V 0.000 0.000 0.500 (multiplicity 3)
Tc 0.000 0.000 0.000 (multiplicity 1)
C 0.500 0.500 0.500 (multiplicity 1)

=====

No. 23
A relaxed structure of VTc2C, computed with PBE.

Calculated values
Total energy in eV per atom: -9.65
Calculated volume in A^3/atom: 12.88
Total magnetic moment in μB per atom: 0.000

a b c (Å): 6.932 6.932 4.288
angles (deg): 90.00 90.00 90.00
Space group I-42d (No. 122)
Asymmetric unit:
V 0.000 0.000 0.000 (multiplicity 4)
Tc 0.139 0.250 0.625 (multiplicity 8)
C 0.000 0.000 0.500 (multiplicity 4)